1.
Compound: SrMgCrCd2
Source: Alexandria
Functional: PBE
Structure: relaxed

Results
The value obtained for the volume is 232 Å³/cell. The magnetization comes out at 5.1 μB per formula unit. The value obtained for the formation energy is 1.112 eV/atom.

a = 6.218 Å, b = 6.218 Å, c = 6.007 Å
α = 90.00°, β = 90.00°, γ = 90.00°
Space group P4/mmm (No. 123)
Unique sites:
Sr  0.000  0.000  0.000 (multiplicity 1)
Mg  0.500  0.500  0.500 (multiplicity 1)
Cr  0.000  0.000  0.500 (multiplicity 1)
Cd  0.000  0.500  0.000 (multiplicity 2)

***

2.
Compound: MgTi2CrCd
Source: Alexandria
Functional: PBE
Structure: relaxed

Results
The value obtained for the volume is 101 Å³/cell. The magnetization comes out at 0.0 μB per formula unit. The value obtained for the formation energy is 1.443 eV/atom.

a = 4.761 Å, b = 4.761 Å, c = 4.471 Å
α = 90.00°, β = 90.00°, γ = 90.00°
Space group P4/mmm (No. 123)
Unique sites:
Mg  0.000  0.000  0.000 (multiplicity 1)
Ti  0.000  0.500  0.000 (multiplicity 2)
Cr  0.000  0.000  0.500 (multiplicity 1)
Cd  0.500  0.500  0.500 (multiplicity 1)

***

3.
Compound: MgTl2CrCd
Source: Alexandria
Functional: PBE
Structure: relaxed

Results
The value obtained for the volume is 151 Å³/cell. The magnetization comes out at 3.6 μB per formula unit. The value obtained for the formation energy is 0.535 eV/atom.

a = 5.316 Å, b = 5.316 Å, c = 5.341 Å
α = 90.00°, β = 90.00°, γ = 90.00°
Space group P4/mmm (No. 123)
Unique sites:
Mg  0.000  0.000  0.000 (multiplicity 1)
Tl  0.000  0.500  0.500 (multiplicity 2)
Cr  0.500  0.500  0.500 (multiplicity 1)
Cd  0.500  0.500  0.000 (multiplicity 1)

***

4.
Compound: MgTl2CrCd
Source: Alexandria
Functional: PBE
Structure: relaxed

Results
The value obtained for the volume is 165 Å³/cell. The magnetization comes out at 5.0 μB per formula unit. The value obtained for the formation energy is 0.798 eV/atom.

a = 5.583 Å, b = 5.583 Å, c = 5.309 Å
α = 90.00°, β = 90.00°, γ = 90.00°
Space group P4/mmm (No. 123)
Unique sites:
Mg  0.000  0.000  0.000 (multiplicity 1)
Tl  0.000  0.500  0.500 (multiplicity 2)
Cr  0.500  0.500  0.000 (multiplicity 1)
Cd  0.000  0.000  0.500 (multiplicity 1)

***

5.
Compound: YMgCr2Cd
Source: Alexandria
Functional: PBE
Structure: relaxed

Results
The value obtained for the volume is 147 Å³/cell. The magnetization comes out at 8.3 μB per formula unit. The value obtained for the formation energy is 1.055 eV/atom.

a = 5.148 Å, b = 5.148 Å, c = 5.561 Å
α = 90.00°, β = 90.00°, γ = 90.00°
Space group P4/mmm (No. 123)
Unique sites:
Y  0.000  0.000  0.000 (multiplicity 1)
Mg  0.500  0.500  0.000 (multiplicity 1)
Cr  0.000  0.500  0.500 (multiplicity 2)
Cd  0.000  0.000  0.500 (multiplicity 1)

***

6.
Compound: MgZrCr2Cd
Source: Alexandria
Functional: PBE
Structure: relaxed

Results
The value obtained for the volume is 136 Å³/cell. The magnetization comes out at 6.7 μB per formula unit. The value obtained for the formation energy is 1.291 eV/atom.

a = 5.030 Å, b = 5.030 Å, c = 5.360 Å
α = 90.00°, β = 90.00°, γ = 90.00°
Space group P4/mmm (No. 123)
Unique sites:
Mg  0.000  0.000  0.000 (multiplicity 1)
Zr  0.500  0.500  0.000 (multiplicity 1)
Cr  0.000  0.500  0.500 (multiplicity 2)
Cd  0.500  0.500  0.500 (multiplicity 1)

***

volume of number 6 (MgZrCr2Cd)?
136 Å³/cell

***

What did the fifth record say?
Compound: YMgCr2Cd
Source: Alexandria
Functional: PBE
Structure: relaxed

Results
The value obtained for the volume is 147 Å³/cell. The magnetization comes out at 8.3 μB per formula unit. The value obtained for the formation energy is 1.055 eV/atom.

a = 5.148 Å, b = 5.148 Å, c = 5.561 Å
α = 90.00°, β = 90.00°, γ = 90.00°
Space group P4/mmm (No. 123)
Unique sites:
Y  0.000  0.000  0.000 (multiplicity 1)
Mg  0.500  0.500  0.000 (multiplicity 1)
Cr  0.000  0.500  0.500 (multiplicity 2)
Cd  0.000  0.000  0.500 (multiplicity 1)